Record 1
SrMn2Cr | the Alexandria database | PBE | optimized geometry; final energy = -25.50 eV per cell; calculated density = 4.9 g cm⁻³; polymorph energy (0 for the lowest one) = 0.6013 eV per atom; total magnetic moment = 11.7 μB per cell; space group = P4/mmm
1.0
4.3260 0.0000 0.0000
0.0000 4.3260 0.0000
0.0000 0.0000 4.5333
Sr Mn Cr
1 2 1
Cartesian
0.0000 0.0000 0.0000
0.0000 2.1630 2.2667
2.1630 0.0000 2.2667
2.1630 2.1630 0.0000

---

Record 2
Ga5Rh | the Alexandria database | PBE | optimized geometry; final energy = -46.22 eV per cell; calculated density = 7.5 g cm⁻³; total magnetic moment = 0.0 μB per cell; space group = Cmmm
1.0
3.8387 0.0000 0.0000
0.0000 12.3020 0.0000
0.0000 0.0000 4.2130
Ga Rh
10 2
Cartesian
0.0000 0.0000 0.0000
0.0000 1.9155 2.1065
0.0000 4.1549 0.0000
0.0000 8.1472 0.0000
0.0000 10.3866 2.1065
1.9194 1.9962 0.0000
1.9194 4.2355 2.1065
1.9194 6.1510 0.0000
1.9194 8.0665 2.1065
1.9194 10.3059 0.0000
0.0000 6.1510 2.1065
1.9194 0.0000 2.1065

---

Energy of formation, respectively: 99.9 -10.1 kJ per mole of atoms.